A plane-wave DFT calculation with PBE was carried out for an optimized crystal structure of La4NO4.

Total magnetization ... 0.9 μB/f.u.
Raw formation energy ... -24.2 eV per formula unit

Cell lengths 5.8556, 5.8556, 6.8679 Å; angles 115.23, 115.23, 90.00 degrees
Each line ends with the local moment (μB).
Fractional positions:
La  0.6566  0.6566  0.7579  0.07
La  0.3434  0.8986  0.2421  0.07
La  0.1014  0.1014  0.7579  0.07
La  0.8986  0.3434  0.2421  0.07
N  0.0000  0.0000  0.0000  -0.01
O  0.5000  0.0000  0.0000  0.00
O  0.0000  0.5000  0.0000  0.00
O  0.2683  0.2683  0.5366  -0.01
O  0.7317  0.7317  0.4634  -0.01